Below is a relaxed BaCoNF2 crystal, with properties calculated at the PBE with a Hubbard U level.

Lattice parameters (Å, degrees): 4.9572 4.9572 5.6427 90.00 90.00 90.00
Space group P4/mmm (No. 123)
Asymmetric unit:
Ba  0.0000  0.0000  0.0000 x1
Co  0.5000  0.5000  0.5000 x1
N  0.0000  0.0000  0.5000 x1
F  0.0000  0.5000  0.0000 x2

Results
The calculation puts the energy above the most stable polymorph in this dataset at 1.198 eV per atom. The value obtained for the density of states at the Fermi level is 1.042 states/eV per atom.